# MnPN PBE-GGA optimized geometry
# * total magnetization: 0.92 μB per formula unit
# * volume: 11.28 Å³/atom
# * formation energy without anion corrections: -142 meV per atom
# * DFT total energy: -7.78 eV/atom
data_MnPN
_space_group_name_H-M_alt 'A m m 2'
_space_group_IT_number 38
_cell_length_a 2.599
_cell_length_b 3.159
_cell_length_c 8.244
_cell_angle_alpha 90.00
_cell_angle_beta 90.00
_cell_angle_gamma 90.00
loop_
_space_group_symop_operation_xyz
'x,y,z'
'-x,-y,z'
'-x,y,z'
'x,-y,z'
'x,y+1/2,z+1/2'
'-x,-y+1/2,z+1/2'
'-x,y+1/2,z+1/2'
'x,-y+1/2,z+1/2'
loop_
_atom_site_label
_atom_site_fract_x
_atom_site_fract_y
_atom_site_fract_z
_atom_site_occupancy
Mn1 0.000 0.000 0.000 1
P1 0.500 0.000 0.360 1
N1 0.500 0.000 0.162 1